Density functional theory data (PBE) for crystalline Cu2Br2N at its relaxed geometry.

The calculation puts the uncorrected formation energy at 0.563 eV per atom. The relative energy among the computed polymorphs comes out at 0.038 eV/atom.

The space group is P4/mbm (No. 127) and the conventional cell measures 5.3714, 5.3714 and 7.1932 Å, with angles of 90.00, 90.00 and 90.00 degrees. The asymmetric unit holds Cu at (0.2476, 0.2524, 0.0000), Br at (0.1960, 0.3040, 0.5000) and N at (0.0000, 0.0000, 0.0000).